# 1
VASP calculation (GGA-PBE) on a relaxed Sc3PI3 crystal.

Cell: 6.748 6.748 11.356 Å, 72.72 72.72 60.00°
Atoms (fractional coordinates):
1 I 0.897 0.568 0.308
2 I 0.226 0.897 0.308
3 I 0.432 0.774 0.692
4 I 0.103 0.432 0.692
5 I 0.774 0.103 0.692
6 I 0.568 0.226 0.308
7 Sc 0.043 0.698 0.872
8 Sc 0.302 0.613 0.128
9 Sc 0.698 0.387 0.872
10 Sc 0.387 0.043 0.872
11 Sc 0.957 0.302 0.128
12 Sc 0.613 0.957 0.128
13 P 0.667 0.667 0.000
14 P 0.333 0.333 0.000

**ΔE_f (raw)**: -1.19 eV/atom

# 2
VASP calculation (GGA-PBE) on a relaxed Ca2InCu crystal.

Cell: 3.575 3.515 8.641 Å, 90.00 90.00 90.00°
Atoms (fractional coordinates):
1 Cu 0.000 0.000 0.537
2 Ca 0.000 0.000 0.949
3 Ca 0.500 0.500 0.319
4 In 0.500 0.500 0.694

**E_form**: -12 kJ/mol of atoms

# 3
VASP calculation (GGA-PBE) on a relaxed K2Ga2Pt crystal.

Cell: 4.358 4.358 10.557 Å, 78.09 78.09 60.00°
Atoms (fractional coordinates):
1 Ga 0.686 0.686 0.942
2 Ga 0.314 0.314 0.058
3 K 0.431 0.431 0.708
4 K 0.569 0.569 0.292
5 Pt 0.000 0.000 0.000

**E_form**: -35 kJ/mol of atoms
**E above lowest polymorph**: 0.000 eV/atom

# 4
VASP calculation (GGA-PBE) on a relaxed LaU2S6 crystal.

Cell: 5.146 7.236 7.909 Å, 73.38 71.01 69.17°
Site moments in Bohr magnetons follow the coordinates.
Atoms (fractional coordinates):
1 S 0.738 0.638 0.886  -0.06
2 S 0.638 0.294 0.430  -0.07
3 S 0.362 0.706 0.570  -0.07
4 S 0.964 0.860 0.211  -0.06
5 S 0.036 0.140 0.789  -0.06
6 S 0.262 0.362 0.114  -0.06
7 U 0.180 0.742 0.898  1.64
8 U 0.820 0.258 0.102  1.64
9 La 0.000 0.500 0.500  0.00

**ΔE_f (raw)**: -1.49 eV/atom

# 5
VASP calculation (GGA-PBE) on a relaxed TbPr5Er2Tm crystal.

Cell: 5.634 10.676 10.760 Å, 90.00 90.00 105.30°
Atoms (fractional coordinates):
1 Pr 0.382 0.765 0.020
2 Pr 0.296 0.592 0.707
3 Pr 0.486 0.972 0.746
4 Pr 0.704 0.408 0.207
5 Pr 0.514 0.028 0.246
6 Pr 0.618 0.235 0.520
7 Pr 0.985 0.971 0.515
8 Pr 0.279 0.559 0.313
9 Pr 0.721 0.441 0.813
10 Pr 0.015 0.029 0.015
11 Tm 0.594 0.188 0.968
12 Tm 0.406 0.812 0.468
13 Er 0.886 0.772 0.803
14 Er 0.112 0.225 0.742
15 Er 0.888 0.775 0.242
16 Er 0.114 0.228 0.303
17 Tb 0.801 0.603 0.511
18 Tb 0.199 0.397 0.011

**E_form**: 14 kJ/mol of atoms

# 6
VASP calculation (GGA-PBE) on a relaxed Li2CdIn2Au2 crystal.

Cell: 4.406 5.302 6.526 Å, 95.76 90.00 114.55°
Atoms (fractional coordinates):
1 Cd 0.000 0.000 0.000
2 Li 0.301 0.602 0.820
3 Li 0.699 0.398 0.180
4 In 0.597 0.195 0.711
5 In 0.403 0.805 0.289
6 Au 0.869 0.737 0.589
7 Au 0.131 0.263 0.411

**E_form**: -29 kJ/mol of atoms

# 7
VASP calculation (GGA-PBE) on a relaxed LaZn4Ni crystal.

Cell: 5.307 5.307 5.307 Å, 60.00 60.00 60.00°
Atoms (fractional coordinates):
1 Zn 0.373 0.880 0.373
2 Zn 0.880 0.373 0.373
3 Zn 0.373 0.373 0.880
4 Zn 0.373 0.373 0.373
5 La 0.750 0.750 0.750
6 Ni 0.000 0.000 0.000

**E_form**: -12 kJ/mol of atoms
**E above lowest polymorph**: 0.207 eV/atom

# 8
VASP calculation (GGA-PBE) on a relaxed YAgC crystal.

Cell: 6.680 7.290 4.091 Å, 90.00 90.00 90.00°
Atoms (fractional coordinates):
1 C 0.692 0.750 0.000
2 C 0.808 0.250 0.500
3 C 0.308 0.250 0.000
4 C 0.192 0.750 0.500
5 Ag 0.847 0.750 0.500
6 Ag 0.347 0.750 0.000
7 Ag 0.153 0.250 0.500
8 Ag 0.653 0.250 0.000
9 Y 0.500 0.500 0.500
10 Y 0.500 0.000 0.500
11 Y 0.000 0.500 0.000
12 Y 0.000 0.000 0.000

**E_form**: 40 kJ/mol of atoms

# 9
VASP calculation (GGA-PBE) on a relaxed Na8Tl3 crystal.

Cell: 4.630 6.138 13.105 Å, 105.23 90.00 112.16°
Atoms (fractional coordinates):
1 Na 0.184 0.368 0.273
2 Na 0.725 0.449 0.089
3 Na 0.816 0.632 0.727
4 Na 0.455 0.910 0.180
5 Na 0.275 0.551 0.911
6 Na 0.369 0.738 0.541
7 Na 0.545 0.090 0.820
8 Na 0.631 0.262 0.459
9 Tl 0.086 0.173 0.637
10 Tl 0.914 0.827 0.363
11 Tl 0.000 0.000 0.000

**E_form**: -8 kJ/mol of atoms
**E above lowest polymorph**: 0.000 eV/atom

# 10
VASP calculation (GGA-PBE) on a relaxed TmMnSi2Tc crystal.

Cell: 3.973 3.973 5.884 Å, 109.73 109.73 90.00°
Site moments in Bohr magnetons follow the coordinates.
Atoms (fractional coordinates):
1 Si 0.383 0.383 0.766  -0.05
2 Si 0.617 0.617 0.234  -0.05
3 Tc 0.250 0.750 0.500  0.17
4 Tm 0.000 0.000 0.000  -0.11
5 Mn 0.750 0.250 0.500  2.56

**ΔE_f (raw)**: -0.64 eV/atom

# 11
VASP calculation (GGA-PBE) on a relaxed CaNd2Sm6Dy3 crystal.

Cell: 6.292 6.292 12.008 Å, 94.99 94.99 120.01°
Atoms (fractional coordinates):
1 Sm 0.424 0.086 0.256
2 Sm 0.576 0.914 0.744
3 Sm 0.252 0.252 0.743
4 Sm 0.086 0.424 0.256
5 Sm 0.914 0.576 0.744
6 Sm 0.748 0.748 0.257
7 Dy 0.166 0.834 0.500
8 Dy 0.500 0.500 0.500
9 Dy 0.834 0.166 0.500
10 Ca 0.000 0.000 0.000
11 Nd 0.667 0.333 0.000
12 Nd 0.333 0.667 0.000

**E_form**: 3 kJ/mol of atoms

# 12
VASP calculation (GGA-PBE) on a relaxed SmYCu4 crystal.

Cell: 5.302 5.302 5.302 Å, 60.00 60.00 60.00°
Atoms (fractional coordinates):
1 Cu 0.625 0.124 0.625
2 Cu 0.625 0.625 0.124
3 Cu 0.124 0.625 0.625
4 Cu 0.625 0.625 0.625
5 Y 0.000 0.000 0.000
6 Sm 0.250 0.250 0.250

**E_form**: -13 kJ/mol of atoms
**E above lowest polymorph**: 0.114 eV/atom